VASP calculation (PBE-GGA) on crystalline FeTcAgGe at its relaxed geometry.

Summary:
**Magnetization**: 2.781 μB/f.u.
**Calculated total energy**: -6.174 eV per atom
**Energy above the most stable polymorph in this dataset**: 0.0 meV per atom

Geometry as extended XYZ:
```
4
Lattice="0.000 3.086 3.086 3.086 0.000 3.086 3.086 3.086 0.000" Properties=species:S:1:pos:R:3 pbc="T T T"
Fe 0.000 0.000 0.000
Tc 3.086 3.086 3.086
Ag 1.543 1.543 1.543
Ge 4.629 4.629 4.629
```